A relaxed structure of Dy2ScSb. Source: the Alexandria database, functional PBE-GGA. Values from VASP.

Properties
DOS(E_F): 1.391 states/eV per atom
total magnetization: 0.952 μB per formula unit
crystal system: trigonal
E above lowest polymorph: 291 meV/atom
SG: R-3m, No. 166
DFT total energy: -5.13 eV/atom
uncorrected formation energy: -0.218 eV per atom

```
&SYSTEM
  ibrav = 0, nat = 4, ntyp = 3
/
ATOMIC_SPECIES
Dy 162.50 Dy.upf
Sc 44.96 Sc.upf
Sb 121.76 Sb.upf
ATOMIC_POSITIONS crystal
Dy 0.738 0.738 0.786
Sc 0.500 0.500 0.500
Sb 0.000 0.000 0.000
Dy 0.262 0.262 0.214
CELL_PARAMETERS angstrom
3.924 0.000 0.000
1.962 3.398 0.000
1.962 1.133 9.269
```

A relaxed structure of Zn2FeSb. Source: the Alexandria database, functional PBE-GGA. Values from VASP.

Properties
DOS(E_F): 0.714 states/eV per atom
total magnetization: 1.624 μB per formula unit
crystal system: trigonal
SG: R3m, No. 160
DFT total energy: -3.50 eV/atom
uncorrected formation energy: 0.287 eV per atom

```
&SYSTEM
  ibrav = 0, nat = 4, ntyp = 3
/
ATOMIC_SPECIES
Zn 65.41 Zn.upf
Fe 55.84 Fe.upf
Sb 121.76 Sb.upf
ATOMIC_POSITIONS crystal
Zn 0.992 0.992 0.992
Fe 0.503 0.503 0.503
Zn 0.244 0.244 0.244
Sb 0.761 0.761 0.761
CELL_PARAMETERS angstrom
-2.553 -7.438 3.000
0.549 -7.914 2.811
-0.671 -6.480 5.329
```